Cs2TcHgCl6 (PBE, optimized geometry); E_tot = -71.1 eV per cell; energy relative to the lowest polymorph listed for this composition = 0 meV per atom; space-group type = R-3m; magnetic moment = 5.99 μB per cell; crystal system = trigonal
1.0
3.675 2.122 18.167
-3.675 2.122 18.167
0.000 -4.244 18.167
Cs Tc Hg Cl
4 2 2 12
Direct
0.140 0.140 0.140
0.307 0.307 0.307
0.693 0.693 0.693
0.860 0.860 0.860
0.000 0.000 0.000
0.500 0.500 0.500
0.414 0.414 0.414
0.586 0.586 0.586
0.169 0.628 0.628
0.178 0.178 0.720
0.178 0.720 0.178
0.280 0.822 0.822
0.372 0.372 0.831
0.372 0.831 0.372
0.628 0.169 0.628
0.628 0.628 0.169
0.720 0.178 0.178
0.822 0.280 0.822
0.822 0.822 0.280
0.831 0.372 0.372